Here is crystalline HfSc4Bi at its relaxed geometry from Alexandria. Energies are from GGA-PBE.

Cell lengths 4.814, 4.814, 7.314 Å; angles 90.00, 90.00, 90.00 degrees
Fractional coordinates of all 6 atoms:
1 Hf 0.000 0.000 0.000
2 Sc 0.000 0.500 0.227
3 Sc 0.000 0.500 0.773
4 Sc 0.500 0.000 0.227
5 Sc 0.500 0.000 0.773
6 Bi 0.500 0.500 0.500

***

Here is crystalline HfSc2Bi at its relaxed geometry from Alexandria. Energies are from GGA-PBE.

Cell lengths 3.389, 3.389, 29.827 Å; angles 90.00, 90.00, 120.00 degrees
Fractional coordinates of all 12 atoms:
1 Hf 0.000 0.000 0.000
2 Hf 0.333 0.667 0.667
3 Hf 0.667 0.333 0.333
4 Sc 0.000 0.000 0.586
5 Sc 0.000 0.000 0.749
6 Sc 0.333 0.667 0.252
7 Sc 0.333 0.667 0.415
8 Sc 0.667 0.333 0.082
9 Sc 0.667 0.333 0.919
10 Bi 0.000 0.000 0.167
11 Bi 0.333 0.667 0.833
12 Bi 0.667 0.333 0.500

***

Here is crystalline Hf3ScBi at its relaxed geometry from Alexandria. Energies are from GGA-PBE.

Cell lengths 5.346, 5.346, 5.346 Å; angles 90.00, 90.00, 90.00 degrees
Fractional coordinates of all 5 atoms:
1 Hf 0.000 0.000 0.500
2 Hf 0.000 0.500 0.000
3 Hf 0.500 0.000 0.000
4 Sc 0.500 0.500 0.500
5 Bi 0.000 0.000 0.000

***

| no. | energy of formation (eV/f.u.) | uncorrected energy (eV per cell) |
| --- | --- | --- |
| 1 | 1.592 | -37.6 |
| 2 | -0.516 | -81.0 |
| 3 | 5.661 | -34.4 |